1.
Compound: UNb2S
Source: the Alexandria database
Functional: PBE
Structure: relaxed

Cell: 9.545 9.545 9.545 Å, 18.31 18.31 18.31°
Fractional positions:
U 0.000 0.000 0.000
Nb 0.100 0.100 0.100
Nb 0.900 0.900 0.900
S 0.500 0.500 0.500

M_tot   1.61 μB/f.u.
Theoretical density   10101 kg/m³
Final energy   -8.775 eV/atom
Formation energy without anion corrections   113 meV per atom
SG   R-3m (166)

***

2.
Compound: NbV2S
Source: the Alexandria database
Functional: PBE
Structure: relaxed

Cell: 4.922 4.922 7.249 Å, 90.00 90.00 140.84°
Fractional positions:
Nb 0.048 0.952 0.750
Nb 0.952 0.048 0.250
V 0.353 0.647 0.554
V 0.353 0.647 0.946
V 0.647 0.353 0.054
V 0.647 0.353 0.446
S 0.237 0.763 0.250
S 0.763 0.237 0.750

M_tot   0.00 μB/f.u.
Theoretical density   6793 kg/m³
Final energy   -8.653 eV/atom
Formation energy without anion corrections   -545 meV per atom
SG   Cmcm (63)

***

3.
Compound: Nb2VS4
Source: the Alexandria database
Functional: PBE
Structure: relaxed

Cell: 6.977 6.977 6.977 Å, 142.03 142.03 54.78°
Fractional positions:
Nb 0.112 0.112 0.000
Nb 0.888 0.888 0.000
V 0.500 0.500 0.000
S 0.000 0.500 0.500
S 0.307 0.307 0.000
S 0.500 0.000 0.500
S 0.693 0.693 0.000

M_tot   0.01 μB/f.u.
Theoretical density   4749 kg/m³
Final energy   -6.701 eV/atom
Formation energy without anion corrections   -163 meV per atom
SG   I4/mmm (139)

***

4.
Compound: NbV3S
Source: the Alexandria database
Functional: PBE
Structure: relaxed

Cell: 6.067 4.955 5.085 Å, 90.00 90.00 90.00°
Fractional positions:
Nb 0.000 0.192 0.000
Nb 0.500 0.808 0.500
V 0.000 0.841 0.626
V 0.250 0.261 0.547
V 0.250 0.739 0.047
V 0.500 0.159 0.126
V 0.750 0.261 0.547
V 0.750 0.739 0.047
S 0.000 0.528 0.322
S 0.500 0.472 0.822

M_tot   0.00 μB/f.u.
Theoretical density   6035 kg/m³
Final energy   -8.438 eV/atom
Formation energy without anion corrections   -128 meV per atom
SG   Pmn2_1 (31)

***

Which of these has the highest final energy? Nb2VS4